Entry 1:
TmZn11Ir, relaxed, DFT PBE-GGA; total energy = -2.31 eV/atom
1.0
-5.041 -0.168 1.261
-4.121 -1.420 -5.184
-1.994 -6.290 1.911
Tm Zn Ir
1 11 1
Cartesian
0.000 0.000 0.000
-2.748 -1.711 -0.331
-8.408 -6.166 -1.681
-6.187 -2.561 -3.038
-4.970 -5.316 1.026
-5.827 -5.078 -1.642
-5.329 -2.798 -0.370
-7.690 -4.764 0.649
-3.466 -3.113 -2.661
-2.061 -0.710 -2.592
-3.518 -3.229 1.586
-0.997 -3.145 0.956
-4.581 -0.794 -1.962

Entry 2:
AcCu2H6Rh, relaxed, DFT PBE-GGA; total energy = -4.22 eV/atom
1.0
5.979 -1.310 0.320
-4.039 5.187 -0.582
-2.495 -1.230 3.951
Ac Cu H Rh
1 2 6 1
Cartesian
2.750 0.685 1.927
-0.125 2.623 0.911
-0.354 0.057 2.625
0.896 -0.832 3.211
-1.375 3.513 0.322
1.617 2.778 0.891
-0.981 1.215 0.536
0.500 1.468 2.992
-2.096 -0.097 2.643
-0.518 2.664 3.611